[1]
Crystalline Ac2Cd9Rh3 at its relaxed geometry, computed with PBE.

Computed properties:
* total energy: -3.0081 eV per atom
* formation enthalpy at 0 K: -0.258 eV per atom

a b c (Å): 15.3820 7.9427 11.8199
angles (deg): 90.00 118.14 90.00
Space group C2/c (No. 15)
Unique sites:
Ac1 0.1809 0.0441 0.2321 x8
Cd1 0.0000 0.2903 0.2500 x4
Cd2 0.0595 0.0816 0.9059 x8
Cd3 0.0905 0.4052 0.0359 x8
Cd4 0.0975 0.3518 0.7475 x8
Cd5 0.2129 0.4044 0.4404 x8
Rh1 0.0958 0.2237 0.5275 x8
Rh2 0.2500 0.2500 0.0000 x4

---

[2]
Crystalline Ac3Cd2Rh3 at its relaxed geometry, computed with PBE.

Computed properties:
* total energy: -5.0028 eV per atom
* formation enthalpy at 0 K: -0.477 eV per atom

a b c (Å): 8.7939 8.7939 6.0129
angles (deg): 90.00 90.00 120.00
Space group P6_3/mcm (No. 193)
Unique sites:
Ac1 0.0000 0.2779 0.2500 x6
Cd1 0.3333 0.6667 0.0000 x4
Rh1 0.0000 0.3906 0.7500 x6

---

[3]
Crystalline Ac6CdRh2 at its relaxed geometry, computed with PBE.

Computed properties:
* total energy: -4.7773 eV per atom
* formation enthalpy at 0 K: -0.303 eV per atom

a b c (Å): 14.0389 5.8133 10.2055
angles (deg): 90.00 121.64 90.00
Space group C2/m (No. 12)
Unique sites:
Ac1 0.0179 0.0000 0.1939 x4
Ac2 0.1536 0.5000 0.5454 x4
Ac3 0.2100 0.5000 0.1130 x4
Cd1 0.0000 0.0000 0.5000 x2
Rh1 0.1876 0.0000 0.1069 x4

---

[4]
Crystalline Ac6Cd23Rh at its relaxed geometry, computed with PBE.

Computed properties:
* total energy: -2.0651 eV per atom
* formation enthalpy at 0 K: -0.297 eV per atom

a b c (Å): 14.6035 14.6035 14.6035
angles (deg): 90.00 90.00 90.00
Space group Fm-3m (No. 225)
Unique sites:
Ac1 0.0000 0.0000 0.2063 x24
Cd1 0.0000 0.0000 0.5000 x4
Cd2 0.0000 0.2500 0.2500 x24
Cd3 0.1217 0.1217 0.3783 x32
Cd4 0.1715 0.1715 0.1715 x32
Rh1 0.0000 0.0000 0.0000 x4

---

Question: Which formula does entry 2 have?
Answer: Ac3Cd2Rh3